Density functional theory data (PBEsol) for a geometry-optimized RbSnTe2 structure.

Structure (CIF):
```
data_RbSnTe2
_space_group_name_H-M_alt 'P 1'
_space_group_IT_number 1
_cell_length_a 8.537
_cell_length_b 7.690
_cell_length_c 8.537
_cell_angle_alpha 123.71
_cell_angle_beta 90.00
_cell_angle_gamma 123.71
loop_
_space_group_symop_operation_xyz
'x,y,z'
loop_
_atom_site_label
_atom_site_fract_x
_atom_site_fract_y
_atom_site_fract_z
Te1 0.947 0.250 0.875
Te2 0.303 0.250 0.375
Te3 0.125 0.750 0.697
Te4 0.625 0.750 0.053
Rb1 0.500 0.000 0.500
Rb2 0.750 0.500 0.250
Sn1 0.250 0.500 0.750
Sn2 0.000 0.000 0.000
```

Summary:
Crystal system   tetragonal
Energy relative to the elements, uncorrected   -0.40 eV per atom

=====

Density functional theory data (PBEsol) for a geometry-optimized TlBiPO2 structure.

Structure (CIF):
```
data_TlBiPO2
_space_group_name_H-M_alt 'P 1'
_space_group_IT_number 1
_cell_length_a 4.215
_cell_length_b 4.215
_cell_length_c 5.069
_cell_angle_alpha 90.00
_cell_angle_beta 90.00
_cell_angle_gamma 90.00
loop_
_space_group_symop_operation_xyz
'x,y,z'
loop_
_atom_site_label
_atom_site_fract_x
_atom_site_fract_y
_atom_site_fract_z
O1 0.500 0.000 0.000
O2 0.000 0.500 0.000
Tl1 0.000 0.000 0.000
Bi1 0.500 0.500 0.500
P1 0.000 0.000 0.500
```

Summary:
Crystal system   tetragonal
Energy relative to the elements, uncorrected   0.21 eV per atom

=====

Density functional theory data (PBEsol) for a geometry-optimized Na3AgO2 structure.

Structure (CIF):
```
data_Na3AgO2
_space_group_name_H-M_alt 'P 1'
_space_group_IT_number 1
_cell_length_a 5.435
_cell_length_b 5.905
_cell_length_c 6.746
_cell_angle_alpha 64.04
_cell_angle_beta 66.24
_cell_angle_gamma 90.00
loop_
_space_group_symop_operation_xyz
'x,y,z'
loop_
_atom_site_label
_atom_site_fract_x
_atom_site_fract_y
_atom_site_fract_z
Na1 0.761 0.511 0.478
Na2 0.239 0.989 0.522
Na3 0.500 0.750 0.000
Na4 0.500 0.250 0.000
Na5 0.761 0.011 0.478
Na6 0.239 0.489 0.522
Ag1 0.000 0.000 0.000
Ag2 0.000 0.500 0.000
O1 0.406 0.134 0.731
O2 0.594 0.866 0.269
O3 0.137 0.366 0.269
O4 0.863 0.634 0.731
```

Summary:
Crystal system   orthorhombic
Energy relative to the elements, uncorrected   -1.03 eV per atom

=====

Density functional theory data (PBEsol) for a geometry-optimized CaCoOs2 structure.

Structure (CIF):
```
data_CaCoOs2
_space_group_name_H-M_alt 'P 1'
_space_group_IT_number 1
_cell_length_a 2.679
_cell_length_b 4.431
_cell_length_c 5.661
_cell_angle_alpha 113.04
_cell_angle_beta 103.69
_cell_angle_gamma 90.00
loop_
_space_group_symop_operation_xyz
'x,y,z'
loop_
_atom_site_label
_atom_site_fract_x
_atom_site_fract_y
_atom_site_fract_z
Co1 0.500 0.000 0.000
Os1 0.788 0.788 0.575
Os2 0.212 0.212 0.425
Ca1 0.000 0.500 0.000
```

Summary:
Crystal system   orthorhombic
DFT formation energy   33 kJ per mole of atoms

=====

Density functional theory data (PBEsol) for a geometry-optimized MgZr2Zn structure.

Structure (CIF):
```
data_MgZr2Zn
_space_group_name_H-M_alt 'P 1'
_space_group_IT_number 1
_cell_length_a 3.175
_cell_length_b 5.066
_cell_length_c 5.066
_cell_angle_alpha 107.58
_cell_angle_beta 90.00
_cell_angle_gamma 90.00
loop_
_space_group_symop_operation_xyz
'x,y,z'
loop_
_atom_site_label
_atom_site_fract_x
_atom_site_fract_y
_atom_site_fract_z
Zr1 0.000 0.500 0.000
Zr2 0.000 0.000 0.500
Zn1 0.500 0.500 0.500
Mg1 0.500 0.000 0.000
```

Summary:
Crystal system   orthorhombic
DFT formation energy   -5 kJ per mole of atoms

=====

Density functional theory data (PBEsol) for a geometry-optimized Al2ZnP structure.

Structure (CIF):
```
data_Al2ZnP
_space_group_name_H-M_alt 'P 1'
_space_group_IT_number 1
_cell_length_a 3.508
_cell_length_b 3.840
_cell_length_c 4.635
_cell_angle_alpha 90.00
_cell_angle_beta 90.00
_cell_angle_gamma 90.00
loop_
_space_group_symop_operation_xyz
'x,y,z'
loop_
_atom_site_label
_atom_site_fract_x
_atom_site_fract_y
_atom_site_fract_z
Al1 0.000 0.500 0.500
Al2 0.000 0.000 0.000
P1 0.500 0.500 0.000
Zn1 0.500 0.000 0.500
```

Summary:
Crystal system   orthorhombic
DFT formation energy   11 kJ per mole of atoms

=====

Density functional theory data (PBEsol) for a geometry-optimized Bi2O3 structure.

Structure (CIF):
```
data_Bi2O3
_space_group_name_H-M_alt 'P 1'
_space_group_IT_number 1
_cell_length_a 3.665
_cell_length_b 4.172
_cell_length_c 5.583
_cell_angle_alpha 95.68
_cell_angle_beta 90.00
_cell_angle_gamma 90.00
loop_
_space_group_symop_operation_xyz
'x,y,z'
loop_
_atom_site_label
_atom_site_fract_x
_atom_site_fract_y
_atom_site_fract_z
O1 0.000 0.290 0.684
O2 0.500 0.038 0.261
O3 0.000 0.507 0.217
Bi1 0.500 0.499 0.489
Bi2 0.000 0.024 0.027
```

Summary:
Crystal system   monoclinic
Energy relative to the elements, uncorrected   -1.14 eV per atom

=====

Density functional theory data (PBEsol) for a geometry-optimized KTaAu structure.

Structure (CIF):
```
data_KTaAu
_space_group_name_H-M_alt 'P 1'
_space_group_IT_number 1
_cell_length_a 2.974
_cell_length_b 2.974
_cell_length_c 7.990
_cell_angle_alpha 100.73
_cell_angle_beta 100.73
_cell_angle_gamma 90.00
loop_
_space_group_symop_operation_xyz
'x,y,z'
loop_
_atom_site_label
_atom_site_fract_x
_atom_site_fract_y
_atom_site_fract_z
Au1 0.982 0.982 0.964
Ta1 0.364 0.364 0.729
K1 0.654 0.654 0.308
```

Summary:
Crystal system   tetragonal
DFT formation energy   57 kJ per mole of atoms

=====

Density functional theory data (PBEsol) for a geometry-optimized IrSe3 structure.

Structure (CIF):
```
data_IrSe3
_space_group_name_H-M_alt 'P 1'
_space_group_IT_number 1
_cell_length_a 3.408
_cell_length_b 7.736
_cell_length_c 7.736
_cell_angle_alpha 120.00
_cell_angle_beta 90.00
_cell_angle_gamma 90.00
loop_
_space_group_symop_operation_xyz
'x,y,z'
loop_
_atom_site_label
_atom_site_fract_x
_atom_site_fract_y
_atom_site_fract_z
Se1 0.250 0.800 0.600
Se2 0.750 0.200 0.400
Se3 0.750 0.600 0.800
Se4 0.750 0.200 0.800
Se5 0.250 0.800 0.200
Se6 0.250 0.400 0.200
Ir1 0.250 0.333 0.667
Ir2 0.750 0.667 0.333
```

Summary:
Crystal system   hexagonal
Energy relative to the elements, uncorrected   0.10 eV per atom

=====

Density functional theory data (PBEsol) for a geometry-optimized MnSnPd2 structure.

Structure (CIF):
```
data_MnSnPd2
_space_group_name_H-M_alt 'P 1'
_space_group_IT_number 1
_cell_length_a 4.463
_cell_length_b 4.463
_cell_length_c 4.463
_cell_angle_alpha 60.00
_cell_angle_beta 60.00
_cell_angle_gamma 60.00
loop_
_space_group_symop_operation_xyz
'x,y,z'
loop_
_atom_site_label
_atom_site_fract_x
_atom_site_fract_y
_atom_site_fract_z
Pd1 0.750 0.750 0.750
Pd2 0.250 0.250 0.250
Sn1 0.500 0.500 0.500
Mn1 0.000 0.000 0.000
```

Summary:
Crystal system   cubic
DFT formation energy   -35 kJ per mole of atoms

=====

Density functional theory data (PBEsol) for a geometry-optimized CdOsBr2 structure.

Structure (CIF):
```
data_CdOsBr2
_space_group_name_H-M_alt 'P 1'
_space_group_IT_number 1
_cell_length_a 3.748
_cell_length_b 3.748
_cell_length_c 8.850
_cell_angle_alpha 77.78
_cell_angle_beta 77.78
_cell_angle_gamma 60.00
loop_
_space_group_symop_operation_xyz
'x,y,z'
loop_
_atom_site_label
_atom_site_fract_x
_atom_site_fract_y
_atom_site_fract_z
Cd1 0.500 0.500 0.500
Os1 0.000 0.000 0.000
Br1 0.716 0.716 0.853
Br2 0.284 0.284 0.147
```

Summary:
Crystal system   trigonal
Energy relative to the elements, uncorrected   0.47 eV per atom

=====

Density functional theory data (PBEsol) for a geometry-optimized AgHgRu structure.

Structure (CIF):
```
data_AgHgRu
_space_group_name_H-M_alt 'P 1'
_space_group_IT_number 1
_cell_length_a 2.681
_cell_length_b 4.630
_cell_length_c 4.630
_cell_angle_alpha 120.00
_cell_angle_beta 90.00
_cell_angle_gamma 90.00
loop_
_space_group_symop_operation_xyz
'x,y,z'
loop_
_atom_site_label
_atom_site_fract_x
_atom_site_fract_y
_atom_site_fract_z
Ag1 0.971 0.000 0.000
Hg1 0.681 0.667 0.333
Ru1 0.349 0.333 0.667
```

Summary:
Crystal system   trigonal
DFT formation energy   58 kJ per mole of atoms

=====

Density functional theory data (PBEsol) for a geometry-optimized In3W structure.

Structure (CIF):
```
data_In3W
_space_group_name_H-M_alt 'P 1'
_space_group_IT_number 1
_cell_length_a 2.950
_cell_length_b 5.189
_cell_length_c 5.269
_cell_angle_alpha 90.00
_cell_angle_beta 92.96
_cell_angle_gamma 90.00
loop_
_space_group_symop_operation_xyz
'x,y,z'
loop_
_atom_site_label
_atom_site_fract_x
_atom_site_fract_y
_atom_site_fract_z
W1 0.500 0.500 0.500
In1 0.000 0.500 0.000
In2 0.768 0.000 0.741
In3 0.232 0.000 0.259
```

Summary:
Crystal system   monoclinic
DFT formation energy   51 kJ per mole of atoms

=====

Density functional theory data (PBEsol) for a geometry-optimized RbGe2Rh2 structure.

Structure (CIF):
```
data_RbGe2Rh2
_space_group_name_H-M_alt 'P 1'
_space_group_IT_number 1
_cell_length_a 4.128
_cell_length_b 4.128
_cell_length_c 6.894
_cell_angle_alpha 107.42
_cell_angle_beta 107.42
_cell_angle_gamma 90.00
loop_
_space_group_symop_operation_xyz
'x,y,z'
loop_
_atom_site_label
_atom_site_fract_x
_atom_site_fract_y
_atom_site_fract_z
Rh1 0.750 0.250 0.500
Rh2 0.250 0.750 0.500
Ge1 0.350 0.350 0.700
Ge2 0.650 0.650 0.300
Rb1 0.000 0.000 0.000
```

Summary:
Crystal system   tetragonal
DFT formation energy   -38 kJ per mole of atoms

=====

Density functional theory data (PBEsol) for a geometry-optimized Mg3H4O5 structure.

Structure (CIF):
```
data_Mg3H4O5
_space_group_name_H-M_alt 'P 1'
_space_group_IT_number 1
_cell_length_a 3.093
_cell_length_b 3.093
_cell_length_c 11.850
_cell_angle_alpha 90.00
_cell_angle_beta 90.00
_cell_angle_gamma 120.00
loop_
_space_group_symop_operation_xyz
'x,y,z'
loop_
_atom_site_label
_atom_site_fract_x
_atom_site_fract_y
_atom_site_fract_z
O1 0.333 0.667 0.411
O2 0.667 0.333 0.589
O3 0.667 0.333 0.191
O4 0.333 0.667 0.809
O5 0.000 0.000 0.000
H1 0.667 0.333 0.274
H2 0.333 0.667 0.726
H3 0.333 0.667 0.329
H4 0.667 0.333 0.671
Mg1 0.000 0.000 0.500
Mg2 0.333 0.667 0.102
Mg3 0.667 0.333 0.898
```

Summary:
Crystal system   trigonal

=====

Density functional theory data (PBEsol) for a geometry-optimized ZnClF2 structure.

Structure (CIF):
```
data_ZnClF2
_space_group_name_H-M_alt 'P 1'
_space_group_IT_number 1
_cell_length_a 2.971
_cell_length_b 2.971
_cell_length_c 9.668
_cell_angle_alpha 81.16
_cell_angle_beta 81.16
_cell_angle_gamma 60.00
loop_
_space_group_symop_operation_xyz
'x,y,z'
loop_
_atom_site_label
_atom_site_fract_x
_atom_site_fract_y
_atom_site_fract_z
Zn1 0.000 0.000 0.000
F1 0.060 0.060 0.821
F2 0.940 0.940 0.179
Cl1 0.500 0.500 0.500
```

Summary:
Crystal system   trigonal
Energy relative to the elements, uncorrected   -0.81 eV per atom

=====

Density functional theory data (PBEsol) for a geometry-optimized Hg2AsW structure.

Structure (CIF):
```
data_Hg2AsW
_space_group_name_H-M_alt 'P 1'
_space_group_IT_number 1
_cell_length_a 3.136
_cell_length_b 3.136
_cell_length_c 9.250
_cell_angle_alpha 80.24
_cell_angle_beta 80.24
_cell_angle_gamma 60.00
loop_
_space_group_symop_operation_xyz
'x,y,z'
loop_
_atom_site_label
_atom_site_fract_x
_atom_site_fract_y
_atom_site_fract_z
W1 0.508 0.508 0.477
Hg1 0.998 0.998 0.006
Hg2 0.756 0.756 0.731
As1 0.238 0.238 0.287
```

Summary:
Crystal system   trigonal
DFT formation energy   27 kJ per mole of atoms

=====

Density functional theory data (PBEsol) for a geometry-optimized BeInRh structure.

Structure (CIF):
```
data_BeInRh
_space_group_name_H-M_alt 'P 1'
_space_group_IT_number 1
_cell_length_a 3.974
_cell_length_b 3.974
_cell_length_c 3.974
_cell_angle_alpha 60.00
_cell_angle_beta 60.00
_cell_angle_gamma 60.00
loop_
_space_group_symop_operation_xyz
'x,y,z'
loop_
_atom_site_label
_atom_site_fract_x
_atom_site_fract_y
_atom_site_fract_z
In1 0.000 0.000 0.000
Be1 0.250 0.250 0.250
Rh1 0.500 0.500 0.500
```

Summary:
Crystal system   cubic
DFT formation energy   -10 kJ per mole of atoms

=====

Density functional theory data (PBEsol) for a geometry-optimized CsAgCl2 structure.

Structure (CIF):
```
data_CsAgCl2
_space_group_name_H-M_alt 'P 1'
_space_group_IT_number 1
_cell_length_a 4.956
_cell_length_b 4.956
_cell_length_c 9.704
_cell_angle_alpha 90.00
_cell_angle_beta 90.00
_cell_angle_gamma 90.00
loop_
_space_group_symop_operation_xyz
'x,y,z'
loop_
_atom_site_label
_atom_site_fract_x
_atom_site_fract_y
_atom_site_fract_z
Ag1 0.000 0.500 0.898
Ag2 0.500 0.000 0.102
Cs1 0.000 0.500 0.294
Cs2 0.500 0.000 0.706
Cl1 0.500 0.500 0.000
Cl2 0.500 0.000 0.356
Cl3 0.000 0.500 0.644
Cl4 0.000 0.000 0.000
```

Summary:
Crystal system   tetragonal
Energy relative to the elements, uncorrected   -1.21 eV per atom

=====

Density functional theory data (PBEsol) for a geometry-optimized TlHgPb2 structure.

Structure (CIF):
```
data_TlHgPb2
_space_group_name_H-M_alt 'P 1'
_space_group_IT_number 1
_cell_length_a 3.471
_cell_length_b 3.471
_cell_length_c 9.075
_cell_angle_alpha 90.00
_cell_angle_beta 90.00
_cell_angle_gamma 90.00
loop_
_space_group_symop_operation_xyz
'x,y,z'
loop_
_atom_site_label
_atom_site_fract_x
_atom_site_fract_y
_atom_site_fract_z
Pb1 0.000 0.000 0.265
Pb2 0.000 0.000 0.735
Tl1 0.500 0.500 0.000
Hg1 0.500 0.500 0.500
```

Summary:
Crystal system   tetragonal
DFT formation energy   0 kJ per mole of atoms

=====

no.,energy (eV/atom),theoretical density (g/cm3)
1,-3.49,4.39
2,-4.43,8.78
3,-4.03,3.99
4,-8.23,13.32
5,-5.42,5.82
6,-3.78,4.00
7,-6.00,9.11
8,-5.28,10.16
9,-5.25,8.07
10,-6.85,10.21
11,-3.82,7.36
12,-4.08,13.66
13,-5.16,10.89
14,-5.83,6.81
15,-5.62,2.66
16,-2.67,3.17
17,-4.73,14.19
18,-5.15,8.49
19,-3.28,4.34
20,-2.80,12.44